(1)
Here is a geometry-optimized SrZnCo3 structure from the Alexandria database. Energies are from GGA-PBE.

Calculated values
DFT total energy = -2.713 eV/atom
E_form = 2.141 eV per atom
Energy above the most stable polymorph in this dataset = 1341 meV per atom

Lattice parameters (Å, degrees): 4.7130 4.7130 4.7130 90.00 90.00 90.00
With the nearest neighbours (Å) after each atom.
Sites, in units of the cell vectors:
1 Sr 0.0000 0.0000 0.0000  6 Co 2.36
2 Zn 0.5000 0.5000 0.5000  12 Co 3.33
3 Co 0.0000 0.5000 0.0000  2 Sr 2.36
4 Co 0.0000 0.0000 0.5000  2 Sr 2.36
5 Co 0.5000 0.0000 0.0000  2 Sr 2.36

***

(2)
Here is a geometry-optimized TaAlZn2Rh structure from the Alexandria database. Energies are from GGA-PBE.

Calculated values
DFT total energy = -4.292 eV/atom
E_form = 0.807 eV per atom

Lattice parameters (Å, degrees): 4.4651 4.3980 4.4651 90.00 90.00 90.00
With the nearest neighbours (Å) after each atom.
Sites, in units of the cell vectors:
1 Zn 0.0000 0.0000 0.5000  2 Al 2.23
2 Zn 0.5000 0.0000 0.0000  2 Al 2.23
3 Rh 0.0000 0.5000 0.0000  2 Al 2.20
4 Al 0.0000 0.0000 0.0000  2 Rh 2.20, 4 Zn 2.23
5 Ta 0.5000 0.5000 0.5000  8 Zn 3.13, 4 Rh 3.16

***

(3)
Here is a geometry-optimized SmYRh structure from the Alexandria database. Energies are from GGA-PBE.

Calculated values
DFT total energy = -6.677 eV/atom
E_form = -0.499 eV per atom
Energy above the most stable polymorph in this dataset = 57 meV per atom

Lattice parameters (Å, degrees): 3.4973 3.4973 6.8582 104.77 104.77 90.00
With the nearest neighbours (Å) after each atom.
Sites, in units of the cell vectors:
1 Y 0.2955 0.2955 0.5909  4 Rh 2.96
2 Rh 0.6690 0.6690 0.3380  4 Y 2.96, 4 Sm 3.01
3 Sm 0.0355 0.0355 0.0711  4 Rh 3.01, 1 Y 3.33

***

(4)
Here is a geometry-optimized Sm2ScIn2 structure from the Alexandria database. Energies are from GGA-PBE.

Calculated values
DFT total energy = -4.603 eV/atom
E_form = -0.354 eV per atom

Lattice parameters (Å, degrees): 4.7626 6.1133 6.1133 65.70 67.08 67.08
With the nearest neighbours (Å) after each atom.
Sites, in units of the cell vectors:
1 Sm 0.1969 0.3031 0.3031  6 In 3.31-3.33, 1 Sm 3.58, 2 Sc 3.64
2 Sm 0.8031 0.6969 0.6969  6 In 3.31-3.33, 1 Sm 3.58, 2 Sc 3.64
3 Sc 0.0000 0.0000 0.0000  4 In 3.01
4 In 0.5000 0.2764 0.7236  1 In 2.97, 2 Sc 3.01, 2 Sm 3.31
5 In 0.5000 0.7236 0.2764  1 In 2.97, 2 Sc 3.01, 2 Sm 3.31

***

(5)
Here is a geometry-optimized KPbSeN2 structure from the Alexandria database. Energies are from GGA-PBE.

Calculated values
DFT total energy = -3.186 eV/atom
ΔE_f (raw) = 1.802 eV per atom
Energy above the most stable polymorph in this dataset = 745 meV per atom

Lattice parameters (Å, degrees): 5.0692 5.0692 7.4482 90.00 90.00 90.00
With the nearest neighbours (Å) after each atom.
Sites, in units of the cell vectors:
1 Pb 0.5000 0.5000 0.5000  4 Se 3.58
2 K 0.0000 0.0000 0.0000  4 N 2.53
3 Se 0.0000 0.0000 0.5000  4 Pb 3.58, 2 K 3.72
4 N 0.0000 0.5000 0.0000  2 K 2.53
5 N 0.5000 0.0000 0.0000  2 K 2.53

***

(6)
Here is a geometry-optimized TmAl2Zn4 structure from the Alexandria database. Energies are from GGA-PBE.

Calculated values
DFT total energy = -2.596 eV/atom
E_form = -0.160 eV per atom

Lattice parameters (Å, degrees): 5.5316 5.5316 5.0345 62.98 62.98 85.17
With the nearest neighbours (Å) after each atom.
Sites, in units of the cell vectors:
1 Zn 0.6112 0.9925 0.6985  3 Zn 2.54-2.75, 2 Al 2.72
2 Zn 0.3888 0.0075 0.3015  3 Zn 2.54-2.75, 2 Al 2.72
3 Zn 0.0075 0.3888 0.3015  3 Zn 2.54-2.75, 2 Al 2.72
4 Zn 0.9925 0.6112 0.6985  3 Zn 2.54-2.75, 2 Al 2.72
5 Tm 0.0000 0.0000 0.0000  12 Zn 3.02-3.16
6 Al 0.4999 0.4999 0.7465  2 Al 2.48-2.55, 4 Zn 2.72
7 Al 0.5001 0.5001 0.2535  2 Al 2.48-2.55, 4 Zn 2.72

***

(7)
Here is a geometry-optimized PmTm2Cu6 structure from the Alexandria database. Energies are from GGA-PBE.

Calculated values
DFT total energy = -4.394 eV/atom
E_form = -0.142 eV per atom
Energy above the most stable polymorph in this dataset = 104 meV per atom

Lattice parameters (Å, degrees): 3.5892 7.7010 7.7010 55.40 76.52 76.52
With the nearest neighbours (Å) after each atom.
Sites, in units of the cell vectors:
1 Pm 0.5000 0.5000 0.5000  12 Cu 2.93-3.23
2 Tm 0.3615 0.1385 0.1385  10 Cu 2.78-2.91
3 Tm 0.6385 0.8615 0.8615  10 Cu 2.78-2.91
4 Cu 0.1765 0.5106 0.1364  4 Cu 2.52-2.79, 1 Tm 2.78
5 Cu 0.8235 0.4894 0.8636  4 Cu 2.52-2.79, 1 Tm 2.78
6 Cu 0.8235 0.8636 0.4894  4 Cu 2.52-2.79, 1 Tm 2.78
7 Cu 0.0000 0.1766 0.8234  3 Cu 2.52-2.53
8 Cu 0.0000 0.8234 0.1766  3 Cu 2.52-2.53
9 Cu 0.1765 0.1364 0.5106  4 Cu 2.52-2.79, 1 Tm 2.78

***

(8)
Here is a geometry-optimized ErO2F3 structure from the Alexandria database. Energies are from GGA-PBE.

Calculated values
DFT total energy = -6.038 eV/atom
ΔE_f (raw) = -2.689 eV per atom

Lattice parameters (Å, degrees): 4.3227 6.9757 8.5521 104.87 104.64 90.00
With the nearest neighbours (Å) after each atom.
Sites, in units of the cell vectors:
1 Er 0.9973 0.2500 0.0000  6 F 2.16-2.18
2 Er 0.0027 0.7500 0.0000  6 F 2.16-2.18
3 O 0.0809 0.5771 0.5425  1 O 1.23
4 O 0.4615 0.0771 0.5425  1 O 1.23
5 O 0.5385 0.9229 0.4575  1 O 1.23
6 O 0.9191 0.4229 0.4575  1 O 1.23
7 F 0.5023 0.7500 0.0000  2 Er 2.16
8 F 0.4977 0.2500 0.0000  2 Er 2.16
9 F 0.9196 0.9480 0.8352  2 Er 2.18
10 F 0.0844 0.5520 0.1648  2 Er 2.18
11 F 0.9156 0.4480 0.8352  2 Er 2.18
12 F 0.0804 0.0520 0.1648  2 Er 2.18

***

(9)
Here is a geometry-optimized MgTl2P structure from the Alexandria database. Energies are from GGA-PBE.

Calculated values
DFT total energy = -3.030 eV/atom
E_form = -0.095 eV per atom
Energy above the most stable polymorph in this dataset = 0 meV per atom

Lattice parameters (Å, degrees): 4.1491 4.1491 7.8584 74.60 74.60 59.92
With the nearest neighbours (Å) after each atom.
Sites, in units of the cell vectors:
1 Mg 0.5296 0.5296 0.4129  3 P 2.50-2.51
2 P 0.2298 0.2298 0.3144  3 Mg 2.50-2.51
3 Tl 0.9783 0.9783 0.0632  3 P 3.04-3.06
4 Tl 0.7622 0.7622 0.7095  3 Mg 3.26-3.27, 3 Tl 3.56-3.58

***

(10)
Here is a geometry-optimized SrGa7Ag5 structure from the Alexandria database. Energies are from GGA-PBE.

Calculated values
DFT total energy = -2.992 eV/atom
E_form = -0.136 eV per atom

Lattice parameters (Å, degrees): 5.6309 7.2432 7.2432 82.80 67.13 67.13
With the nearest neighbours (Å) after each atom.
Sites, in units of the cell vectors:
1 Sr 0.0003 0.9997 0.9997  10 Ga 3.29-3.51, 6 Ag 3.43-3.56
2 Ga 0.6381 0.3619 0.3619  1 Ga 2.64, 4 Ag 2.94
3 Ga 0.3540 0.6460 0.6460  1 Ga 2.64
4 Ga 0.9946 0.3632 0.6476  2 Ga 2.72-2.93, 5 Ag 2.85-2.97
5 Ga 0.9946 0.6476 0.3632  2 Ga 2.72-2.93, 5 Ag 2.85-2.97
6 Ga 0.2739 0.2261 0.2261  4 Ag 2.73, 4 Ga 2.93-2.97
7 Ga 0.5070 0.7802 0.2057  5 Ag 2.73-2.78, 2 Ga 2.97-3.01
8 Ga 0.5070 0.2057 0.7802  5 Ag 2.73-2.78, 2 Ga 2.97-3.01
9 Ag 0.5043 0.0007 0.4892  7 Ga 2.73-2.97, 3 Ag 2.81-2.86
10 Ag 0.0058 0.0007 0.4892  7 Ga 2.73-2.97, 3 Ag 2.81-2.86
11 Ag 0.5043 0.4892 0.0007  7 Ga 2.73-2.97, 3 Ag 2.81-2.86
12 Ag 0.0058 0.4892 0.0007  7 Ga 2.73-2.97, 3 Ag 2.81-2.86
13 Ag 0.7102 0.7898 0.7898  4 Ga 2.78-2.97, 4 Ag 2.86

***

(11)
Here is a geometry-optimized Li3MnTl structure from the Alexandria database. Energies are from GGA-PBE.

Calculated values
DFT total energy = -2.879 eV/atom
E_form = 0.576 eV per atom
Energy above the most stable polymorph in this dataset = 0 meV per atom

Lattice parameters (Å, degrees): 4.9201 4.9201 4.9201 90.00 90.00 90.00
With the nearest neighbours (Å) after each atom.
Sites, in units of the cell vectors:
1 Tl 0.5000 0.5000 0.5000  12 Li 3.48
2 Mn 0.0000 0.0000 0.0000  6 Li 2.46
3 Li 0.0000 0.5000 0.0000  2 Mn 2.46
4 Li 0.0000 0.0000 0.5000  2 Mn 2.46
5 Li 0.5000 0.0000 0.0000  2 Mn 2.46

***

(12)
Here is a geometry-optimized YZn2Br structure from the Alexandria database. Energies are from GGA-PBE.

Calculated values
DFT total energy = -3.017 eV/atom
ΔE_f (raw) = -0.346 eV per atom
Energy above the most stable polymorph in this dataset = 116 meV per atom

Lattice parameters (Å, degrees): 5.6929 5.6929 5.6929 140.91 127.84 67.07
With the nearest neighbours (Å) after each atom.
Sites, in units of the cell vectors:
1 Br 0.4925 0.4925 0.0000  2 Y 3.00, 8 Zn 3.15-3.29
2 Y 0.2489 0.7489 0.5000  2 Br 3.00, 6 Zn 3.10-3.15
3 Zn 0.9913 0.9913 0.0000  2 Zn 2.85, 2 Y 3.10, 4 Br 3.15
4 Zn 0.7673 0.2673 0.5000  2 Zn 2.85, 4 Y 3.15